Below is an optimized crystal structure of PrGaHRu, with properties calculated at the GGA-PBE level.

a b c (Å): 4.1356 4.1356 7.8468
angles (deg): 90.00 90.00 90.00
Last column: nearest neighbours and their distance in Å.
Fractional positions:
Pr: 0.2500 0.2500 0.1614  4 H 2.42
Pr: 0.7500 0.7500 0.8386  4 H 2.42
Ga: 0.2500 0.2500 0.6838  4 Ru 2.52
Ga: 0.7500 0.7500 0.3162  4 Ru 2.52
H: 0.2500 0.7500 0.0000  4 Pr 2.42
H: 0.7500 0.2500 0.0000  4 Pr 2.42
Ru: 0.2500 0.7500 0.5000  4 Ga 2.52
Ru: 0.7500 0.2500 0.5000  4 Ga 2.52

Summary:
Its volume is 134.2 Å³/cell. Its total DFT energy (no corrections) is -5.57 eV per atom.

Below is an optimized crystal structure of NdGe4Pt2, with properties calculated at the GGA-PBE level.

a b c (Å): 17.5278 4.3546 6.9706
angles (deg): 90.00 90.00 90.00
Last column: nearest neighbours and their distance in Å.
Fractional positions:
Nd: 0.1417 0.2500 0.0145  8 Ge 3.04-3.26, 4 Pt 3.33-3.39
Nd: 0.3583 0.7500 0.5145  8 Ge 3.04-3.26, 4 Pt 3.33-3.39
Nd: 0.6417 0.2500 0.4855  8 Ge 3.04-3.26, 4 Pt 3.33-3.39
Nd: 0.8583 0.7500 0.9855  8 Ge 3.04-3.26, 4 Pt 3.33-3.39
Ge: 0.0374 0.7500 0.8604  3 Pt 2.56-2.63
Ge: 0.0636 0.2500 0.4704  4 Pt 2.60-2.78, 1 Ge 2.91
Ge: 0.1775 0.7500 0.3276  4 Pt 2.68-2.79, 1 Ge 2.88
Ge: 0.1954 0.7500 0.7389  3 Pt 2.59-2.68, 1 Ge 2.88
Ge: 0.3046 0.2500 0.2389  3 Pt 2.59-2.68, 1 Ge 2.88
Ge: 0.3225 0.2500 0.8276  4 Pt 2.68-2.79, 1 Ge 2.88
Ge: 0.4364 0.7500 0.9704  4 Pt 2.60-2.78, 1 Ge 2.91
Ge: 0.4626 0.2500 0.3604  3 Pt 2.56-2.63
Ge: 0.5374 0.7500 0.6396  3 Pt 2.56-2.63
Ge: 0.5636 0.2500 0.0296  4 Pt 2.60-2.78, 1 Ge 2.91
Ge: 0.6775 0.7500 0.1724  4 Pt 2.68-2.79, 1 Ge 2.88
Ge: 0.6954 0.7500 0.7611  3 Pt 2.59-2.68, 1 Ge 2.88
Ge: 0.8046 0.2500 0.2611  3 Pt 2.59-2.68, 1 Ge 2.88
Ge: 0.8225 0.2500 0.6724  4 Pt 2.68-2.79, 1 Ge 2.88
Ge: 0.9364 0.7500 0.5296  4 Pt 2.60-2.78, 1 Ge 2.91
Ge: 0.9626 0.2500 0.1396  3 Pt 2.56-2.63
Pt: 0.0289 0.7500 0.2375  7 Ge 2.56-2.78
Pt: 0.2108 0.2500 0.5425  7 Ge 2.59-2.79
Pt: 0.2892 0.7500 0.0425  7 Ge 2.59-2.79
Pt: 0.4711 0.2500 0.7375  7 Ge 2.56-2.78
Pt: 0.5289 0.7500 0.2625  7 Ge 2.56-2.78
Pt: 0.7108 0.2500 0.9575  7 Ge 2.59-2.79
Pt: 0.7892 0.7500 0.4575  7 Ge 2.59-2.79
Pt: 0.9711 0.2500 0.7625  7 Ge 2.56-2.78

Summary:
The calculated formation energy is -4.37 eV per formula unit. Its volume is 532.0 Å³/cell.

Below is an optimized crystal structure of CsLa3Ir, with properties calculated at the GGA-PBE level.

a b c (Å): 5.6961 5.6961 5.6961
angles (deg): 90.00 90.00 90.00
Last column: nearest neighbours and their distance in Å.
Fractional positions:
Cs: 0.0000 0.0000 0.0000  6 La 2.85
La: 0.0000 0.0000 0.5000  2 Cs 2.85
La: 0.0000 0.5000 0.0000  2 Cs 2.85
La: 0.5000 0.0000 0.0000  2 Cs 2.85
Ir: 0.5000 0.5000 0.5000  12 La 4.03

Summary:
The calculated formation energy is 7.60 eV per formula unit. As for the offset from the most stable computed form: 1636 meV per atom. Its volume is 184.8 Å³/cell.

Below is an optimized crystal structure of Li2CeHg2, with properties calculated at the GGA-PBE level.

a b c (Å): 3.4244 4.9835 13.3020
angles (deg): 90.00 90.00 90.00
Last column: nearest neighbours and their distance in Å.
Fractional positions:
Li: 0.2500 0.2500 0.0132  4 Hg 2.78-3.10, 4 Li 3.04
Li: 0.2500 0.7500 0.3702  5 Hg 2.72-2.93
Li: 0.7500 0.2500 0.6298  5 Hg 2.72-2.93
Li: 0.7500 0.7500 0.9868  4 Hg 2.78-3.10, 4 Li 3.04
Ce: 0.2500 0.7500 0.7596  6 Hg 3.25-3.29, 2 Ce 3.42, 6 Li 3.47-3.48
Ce: 0.7500 0.2500 0.2404  6 Hg 3.25-3.29, 2 Ce 3.42, 6 Li 3.47-3.48
Hg: 0.2500 0.2500 0.4513  4 Li 2.72-2.93
Hg: 0.2500 0.7500 0.1513  5 Li 2.78-3.10
Hg: 0.7500 0.2500 0.8487  5 Li 2.78-3.10
Hg: 0.7500 0.7500 0.5487  4 Li 2.72-2.93

Summary:
The calculated formation energy is -1.17 eV per formula unit. As for the offset from the most stable computed form: 34 meV per atom. Its volume is 227.0 Å³/cell.

Below is an optimized crystal structure of ZrPbIO6, with properties calculated at the GGA-PBE level.

a b c (Å): 5.5650 5.5650 5.3530
angles (deg): 90.00 90.00 120.00
Last column: nearest neighbours and their distance in Å.
Fractional positions:
Zr: 0.0000 0.0000 0.0000  6 O 2.13
Pb: 0.6667 0.3333 0.5000  6 O 2.61
I: 0.3333 0.6667 0.0000  6 O 2.02
O: 0.0517 0.3487 0.2102  1 I 2.02, 1 Zr 2.13
O: 0.0517 0.7030 0.7898  1 I 2.02, 1 Zr 2.13
O: 0.2970 0.3487 0.7898  1 I 2.02, 1 Zr 2.13
O: 0.2970 0.9483 0.2102  1 I 2.02, 1 Zr 2.13
O: 0.6513 0.7030 0.2102  1 I 2.02, 1 Zr 2.13
O: 0.6513 0.9483 0.7898  1 I 2.02, 1 Zr 2.13

Summary:
As for the formation energy without anion corrections: -1.42 eV per atom. Its volume is 143.6 Å³/cell.

Below is an optimized crystal structure of AsP2OsO, with properties calculated at the GGA-PBE level.

a b c (Å): 4.7764 4.7764 3.6713
angles (deg): 90.00 90.00 90.00
Last column: nearest neighbours and their distance in Å.
Fractional positions:
As: 0.0000 0.0000 0.0000  8 P 3.01
P: 0.0000 0.5000 0.5000  2 Os 2.39
P: 0.5000 0.0000 0.5000  2 Os 2.39
Os: 0.5000 0.5000 0.5000  2 O 1.84
O: 0.5000 0.5000 0.0000  2 Os 1.84

Summary:
As for the formation energy without anion corrections: 0.19 eV per atom. As for the offset from the most stable computed form: 0 meV per atom. Its volume is 83.8 Å³/cell.

Below is an optimized crystal structure of Pr5Mg5Cd2, with properties calculated at the GGA-PBE level.

a b c (Å): 5.4235 5.4235 14.5188
angles (deg): 100.82 100.82 60.02
Last column: nearest neighbours and their distance in Å.
Fractional positions:
Pr: 0.0000 0.0000 0.0000  2 Cd 3.08, 6 Mg 3.32
Pr: 0.1443 0.1443 0.4324  1 Cd 3.05, 3 Mg 3.27-3.28
Pr: 0.3967 0.3967 0.1910  3 Cd 3.15-3.16, 3 Mg 3.52
Pr: 0.6033 0.6033 0.8090  3 Cd 3.15-3.16, 3 Mg 3.52
Pr: 0.8557 0.8557 0.5676  1 Cd 3.05, 3 Mg 3.27-3.28
Mg: 0.2271 0.2271 0.6801  1 Mg 3.43, 3 Cd 3.45, 7 Pr 3.51-3.63
Mg: 0.3075 0.3075 0.9225  6 Pr 3.32-3.52, 1 Mg 3.43, 3 Cd 3.70-3.71
Mg: 0.5000 0.5000 0.5000  6 Pr 3.27-3.28
Mg: 0.6925 0.6925 0.0775  6 Pr 3.32-3.52, 1 Mg 3.43, 3 Cd 3.70-3.71
Mg: 0.7729 0.7729 0.3199  1 Mg 3.43, 3 Cd 3.45, 7 Pr 3.51-3.63
Cd: 0.0719 0.0719 0.2173  5 Pr 3.05-3.16
Cd: 0.9281 0.9281 0.7827  5 Pr 3.05-3.16

Summary:
The calculated formation energy is -0.65 eV per formula unit. Its volume is 361.1 Å³/cell.

Below is an optimized crystal structure of TcPb2Br8, with properties calculated at the GGA-PBE level.

a b c (Å): 8.2806 8.2806 7.4962
angles (deg): 90.99 90.99 49.50
Last column: nearest neighbours and their distance in Å.
Fractional positions:
Tc: 0.0000 0.0000 0.0000  6 Br 2.52-2.55
Pb: 0.1360 0.1360 0.5343  2 Br 2.81-3.01
Pb: 0.8640 0.8640 0.4657  2 Br 2.81-3.01
Br: 0.1655 0.1655 0.9330  1 Tc 2.55
Br: 0.2216 0.7228 0.7600  1 Tc 2.52
Br: 0.2772 0.7784 0.2400  1 Tc 2.52
Br: 0.3129 0.3129 0.4216  1 Pb 2.81
Br: 0.6871 0.6871 0.5784  1 Pb 2.81
Br: 0.7228 0.2216 0.7600  1 Tc 2.52
Br: 0.7784 0.2772 0.2400  1 Tc 2.52
Br: 0.8345 0.8345 0.0670  1 Tc 2.55

Summary:
As for the formation energy without anion corrections: -0.63 eV per atom. Its volume is 390.8 Å³/cell.

Below is an optimized crystal structure of Pr5NdIn4, with properties calculated at the GGA-PBE level.

a b c (Å): 3.6511 3.6511 23.1101
angles (deg): 90.00 90.00 90.00
Last column: nearest neighbours and their distance in Å.
Fractional positions:
Pr: 0.0000 0.0000 0.0000  8 In 3.41, 4 Pr 3.65
Pr: 0.0000 0.0000 0.1920  8 In 3.40-3.41, 4 Pr 3.65
Pr: 0.0000 0.0000 0.3830  4 In 3.38, 4 Pr 3.65, 4 Nd 3.74
Pr: 0.0000 0.0000 0.6170  4 In 3.38, 4 Pr 3.65, 4 Nd 3.74
Pr: 0.0000 0.0000 0.8080  8 In 3.40-3.41, 4 Pr 3.65
Nd: 0.5000 0.5000 0.5000  4 Nd 3.65, 8 Pr 3.74
In: 0.5000 0.5000 0.0962  8 Pr 3.40-3.41, 4 In 3.65
In: 0.5000 0.5000 0.2885  8 Pr 3.38-3.41, 4 In 3.65
In: 0.5000 0.5000 0.7115  8 Pr 3.38-3.41, 4 In 3.65
In: 0.5000 0.5000 0.9038  8 Pr 3.40-3.41, 4 In 3.65

Summary:
The calculated formation energy is -3.83 eV per formula unit. As for the offset from the most stable computed form: 0 meV per atom. Its volume is 308.1 Å³/cell.

Below is an optimized crystal structure of Rb7ClF5, with properties calculated at the GGA-PBE level.

a b c (Å): 7.1427 7.1427 27.7647
angles (deg): 90.06 90.06 33.43
Last column: nearest neighbours and their distance in Å.
Fractional positions:
Rb: 0.0887 0.0887 0.2499  2 Cl 3.40
Rb: 0.1381 0.1381 0.5298  6 F 2.75-2.95
Rb: 0.1378 0.1378 0.9701  6 F 2.75-2.95
Rb: 0.3454 0.3454 0.3419  3 F 2.79-3.00
Rb: 0.3459 0.3459 0.1581  3 F 2.79-3.00
Rb: 0.4092 0.4092 0.9085  5 F 2.83-2.90
Rb: 0.4097 0.4097 0.5914  5 F 2.82-2.90
Rb: 0.5903 0.5903 0.4086  5 F 2.82-2.90
Rb: 0.5908 0.5908 0.0915  5 F 2.83-2.90
Rb: 0.6541 0.6541 0.8419  3 F 2.79-3.00
Rb: 0.6546 0.6546 0.6581  3 F 2.79-3.00
Rb: 0.8622 0.8622 0.0299  6 F 2.75-2.95
Rb: 0.8619 0.8619 0.4702  6 F 2.75-2.95
Rb: 0.9113 0.9113 0.7501  2 Cl 3.40
Cl: 0.2135 0.2135 0.7502  6 Rb 3.37-3.40
Cl: 0.7865 0.7865 0.2498  6 Rb 3.37-3.40
F: 0.0444 0.0444 0.6175  5 Rb 2.75-2.85
F: 0.0440 0.0440 0.8826  5 Rb 2.75-2.85
F: 0.2311 0.2311 0.0659  6 Rb 2.90-3.00
F: 0.2309 0.2309 0.4340  6 Rb 2.90-3.00
F: 0.5000 0.5000 0.0000  6 Rb 2.83-2.91
F: 0.5000 0.5000 0.5000  6 Rb 2.82-2.91
F: 0.7691 0.7691 0.5660  6 Rb 2.90-3.00
F: 0.7689 0.7689 0.9341  6 Rb 2.90-3.00
F: 0.9560 0.9560 0.1174  5 Rb 2.75-2.85
F: 0.9556 0.9556 0.3825  5 Rb 2.75-2.85

Summary:
As for the formation energy without anion corrections: -2.28 eV per atom. Its volume is 780.4 Å³/cell.

Below is an optimized crystal structure of LiCa5, with properties calculated at the GGA-PBE level.

a b c (Å): 8.9670 8.9670 5.7874
angles (deg): 90.00 90.00 149.97
Last column: nearest neighbours and their distance in Å.
Fractional positions:
Li: 0.0000 0.0000 0.0000  8 Ca 3.60-3.71
Ca: 0.1685 0.8315 0.5000  8 Ca 3.66-3.73
Ca: 0.3415 0.6585 0.0000  2 Li 3.60, 8 Ca 3.71-3.99
Ca: 0.5000 0.5000 0.5000  4 Li 3.71, 8 Ca 3.73-3.99
Ca: 0.6585 0.3415 0.0000  2 Li 3.60, 8 Ca 3.71-3.99
Ca: 0.8315 0.1685 0.5000  8 Ca 3.66-3.73

Summary:
The calculated formation energy is 0.26 eV per formula unit. As for the offset from the most stable computed form: 37 meV per atom. Its volume is 232.9 Å³/cell.

Q: Which formula does entry 9 have?
A: Pr5NdIn4

Q: The lowest volume belongs to which entry?
A: AsP2OsO

Q: Among the records above, which one has the lowest volume?
A: AsP2OsO

Q: Which formula does entry 7 have?
A: Pr5Mg5Cd2